No. 1
Entry from Alexandria via LeMat-Bulk: Nd6Al43Mo4 after structural relaxation (PBEsol).

Its magnetic moment is 0.000 μB per formula unit. As for the crystal system: hexagonal. The value obtained for the energy is -5.1035 eV/atom.

Cell: 10.9972 10.9972 17.8244 Å, 90.00 90.00 120.00°
Sites, in units of the cell vectors:
Al1 0.5972 0.1475 0.2500
Al2 0.3333 0.6667 0.1266
Al3 0.2513 0.2513 0.9694
Al4 0.2351 0.8423 0.1651
Al5 0.7530 0.5059 0.0000
Al6 0.7649 0.6073 0.3349
Al7 0.5503 0.4028 0.2500
Al8 0.0000 0.1470 0.2500
Al9 0.1587 0.1587 0.1150
Al10 0.0000 0.1587 0.8850
Al11 0.1577 0.3927 0.3349
Al12 0.1577 0.3927 0.1651
Al13 0.6073 0.7649 0.3349
Al14 0.8530 0.0000 0.7500
Al15 0.2513 0.2513 0.5306
Al16 0.5059 0.7530 0.5000
Al17 0.0000 0.1587 0.6150
Al18 0.8530 0.8530 0.2500
Al19 0.7487 0.0000 0.9694
Al20 0.1587 0.1587 0.3850
Al21 0.6667 0.3333 0.6266
Al22 0.3927 0.1577 0.1651
Al23 0.1475 0.5503 0.7500
Al24 0.0000 0.8530 0.7500
Al25 0.4028 0.8525 0.7500
Al26 0.6073 0.8423 0.8349
Al27 0.5503 0.1475 0.7500
Al28 0.2513 0.0000 0.0306
Al29 0.2470 0.4941 0.5000
Al30 0.4497 0.8525 0.2500
Al31 0.1587 0.0000 0.6150
Al32 0.8423 0.2351 0.3349
Al33 0.8413 0.8413 0.6150
Al34 0.4941 0.2470 0.0000
Al35 0.0000 0.2513 0.0306
Al36 0.2513 0.0000 0.4694
Al37 0.1587 0.0000 0.8850
Al38 0.7487 0.0000 0.5306
Al39 0.0000 0.2513 0.4694
Al40 0.3333 0.6667 0.8734
Al41 0.2470 0.4941 0.0000
Al42 0.0000 0.8413 0.1150
Al43 0.3927 0.2351 0.8349
Al44 0.1577 0.7649 0.6651
Al45 0.8525 0.4028 0.7500
Al46 0.7649 0.6073 0.1651
Al47 0.2470 0.7530 0.5000
Al48 0.8413 0.8413 0.8850
Al49 0.7649 0.1577 0.6651
Al50 0.4941 0.2470 0.5000
Al51 0.1475 0.5972 0.2500
Al52 0.4497 0.5972 0.7500
Al53 0.8423 0.2351 0.1651
Al54 0.1577 0.7649 0.8349
Al55 0.8525 0.4497 0.2500
Al56 0.2470 0.7530 0.0000
Al57 0.6667 0.3333 0.1266
Al58 0.8413 0.0000 0.3850
Al59 0.6667 0.3333 0.8734
Al60 0.5972 0.4497 0.7500
Al61 0.0000 0.7487 0.5306
Al62 0.2351 0.3927 0.8349
Al63 0.3927 0.2351 0.6651
Al64 0.2351 0.3927 0.6651
Al65 0.6667 0.3333 0.3734
Al66 0.6073 0.7649 0.1651
Al67 0.7530 0.5059 0.5000
Al68 0.7530 0.2470 0.5000
Al69 0.0000 0.8413 0.3850
Al70 0.7487 0.7487 0.4694
Al71 0.8413 0.0000 0.1150
Al72 0.1470 0.0000 0.2500
Al73 0.7487 0.7487 0.0306
Al74 0.2351 0.8423 0.3349
Al75 0.4028 0.5503 0.2500
Al76 0.3333 0.6667 0.3734
Al77 0.3927 0.1577 0.3349
Al78 0.1470 0.1470 0.7500
Al79 0.6073 0.8423 0.6651
Al80 0.8423 0.6073 0.6651
Al81 0.7649 0.1577 0.8349
Al82 0.0000 0.7487 0.9694
Al83 0.7530 0.2470 0.0000
Al84 0.8423 0.6073 0.8349
Al85 0.5059 0.7530 0.0000
Al86 0.3333 0.6667 0.6266
Mo1 0.0000 0.0000 0.0000
Mo2 0.0000 0.0000 0.5000
Mo3 0.2681 0.0000 0.7500
Mo4 0.0000 0.2681 0.7500
Mo5 0.7319 0.7319 0.7500
Mo6 0.7319 0.0000 0.2500
Mo7 0.2681 0.2681 0.2500
Mo8 0.0000 0.7319 0.2500
Nd1 0.5305 0.0000 0.4051
Nd2 0.0000 0.5305 0.4051
Nd3 0.5305 0.5305 0.9051
Nd4 0.0000 0.5305 0.0949
Nd5 0.4695 0.0000 0.9051
Nd6 0.5305 0.0000 0.0949
Nd7 0.5305 0.5305 0.5949
Nd8 0.4695 0.0000 0.5949
Nd9 0.4695 0.4695 0.4051
Nd10 0.0000 0.4695 0.5949
Nd11 0.0000 0.4695 0.9051
Nd12 0.4695 0.4695 0.0949


No. 2
Entry from Alexandria via LeMat-Bulk: LaPAu after structural relaxation (PBEsol).

Its magnetic moment is 0.000 μB per formula unit. As for the crystal system: tetragonal. The value obtained for the energy is -5.6864 eV/atom.

Cell: 4.0153 4.0153 5.1328 Å, 113.03 113.03 90.00°
Sites, in units of the cell vectors:
Au1 0.9856 0.9856 0.9712
La1 0.3244 0.3244 0.6488
P1 0.6900 0.6900 0.3800


No. 3
Entry from Alexandria via LeMat-Bulk: Cu3TeH after structural relaxation (PBEsol).

Its magnetic moment is 0.000 μB per formula unit. As for the crystal system: cubic. The value obtained for the energy is -3.7248 eV/atom.

Cell: 3.9640 3.9640 3.9640 Å, 90.00 90.00 90.00°
Sites, in units of the cell vectors:
H1 0.0000 0.0000 0.0000
Cu1 0.0000 0.5000 0.0000
Cu2 0.0000 0.0000 0.5000
Cu3 0.5000 0.0000 0.0000
Te1 0.5000 0.5000 0.5000


No. 4
Entry from Alexandria via LeMat-Bulk: Sc2AgH2 after structural relaxation (PBEsol).

Its magnetic moment is 0.000 μB per formula unit. As for the crystal system: tetragonal. The value obtained for the energy is -5.1887 eV/atom.

Cell: 3.3689 3.3689 6.1513 Å, 105.89 105.89 90.00°
Sites, in units of the cell vectors:
H1 0.7500 0.2500 0.5000
H2 0.2500 0.7500 0.5000
Ag1 0.0000 0.0000 0.0000
Sc1 0.3485 0.3485 0.6970
Sc2 0.6515 0.6515 0.3030


No. 5
Entry from Alexandria via LeMat-Bulk: NiBrCl after structural relaxation (PBEsol).

The energy above the most stable polymorph in this dataset is 571 meV/atom. Its magnetic moment is 1.866 μB per formula unit. The formation energy without anion corrections is 3.0 kcal/mol of atoms. As for the crystal system: tetragonal.

Cell: 3.0908 3.0908 6.4768 Å, 103.80 103.80 90.00°
Site moments in Bohr magnetons follow the coordinates.
Sites, in units of the cell vectors:
Cl1 0.7133 0.7133 0.4267  0.22
Br1 0.9603 0.9603 0.9206  0.29
Ni1 0.3263 0.3263 0.6527  1.25


No. 6
Entry from Alexandria via LeMat-Bulk: CaNiPt2 after structural relaxation (PBEsol).

Its magnetic moment is 0.721 μB per formula unit. As for the crystal system: tetragonal. The value obtained for the energy is -5.7762 eV/atom.

Cell: 3.9969 3.9922 4.8698 Å, 114.17 114.20 90.04°
Site moments in Bohr magnetons follow the coordinates.
Sites, in units of the cell vectors:
Ni1 0.2498 0.7498 0.4996  0.47
Pt1 0.7501 0.2501 0.5002  0.14
Pt2 0.0002 0.0002 0.0004  0.14
Ca1 0.4999 0.4999 0.9998  -0.01